Record 1
This record from the Alexandria database describes a geometry-optimized ZnRe2Si2 structure. The functional is PBE.

Structure (extended XYZ):
```
5
Lattice="-1.699 1.699 6.373 1.699 -1.699 6.373 1.699 1.699 -6.373" Properties=species:S:1:pos:R:3 pbc="T T T"
Zn 0.000 0.000 0.000
Re 0.000 0.000 4.998
Re 0.000 0.000 7.748
Si 1.699 0.000 3.186
Si 0.000 1.699 3.186
```

Results
- space-group type = No. 139
- crystal system = tetragonal
- calculated density (g/cm3) = 11.15
- formation energy from raw total energies (eV/atom) = 0.036

Record 2
This record from the Alexandria database describes a geometry-optimized Ti3AsI structure. The functional is PBE.

Structure (extended XYZ):
```
5
Lattice="4.990 0.000 0.000 0.000 4.990 0.000 0.000 0.000 4.990" Properties=species:S:1:pos:R:3 pbc="T T T"
Ti 0.000 0.000 2.495
Ti 0.000 2.495 0.000
Ti 2.495 0.000 0.000
As 2.495 2.495 2.495
I 0.000 0.000 0.000
```

Results
- space-group type = No. 221
- crystal system = cubic
- calculated density (g/cm3) = 4.62
- formation energy from raw total energies (eV/atom) = 1.018

no.,VASP energy (eV/atom)
1,-7.367
2,-4.959